1.
SCAN ScFeSe2N, single point on PBEsol structure; SG = No. 123; energy relative to the elements, uncorrected = -1.96 eV/f.u.; total moment = 0.0 μB per formula unit; V = 79.2 Å³/cell; theoretical density = 5715 kg/m³
1.0
4.817 0.000 0.000
0.000 4.817 0.000
0.000 0.000 3.415
Sc Fe Se N
1 1 2 1
direct
0.000 0.000 0.000
0.500 0.500 0.500
0.000 0.500 0.500
0.500 0.000 0.500
0.500 0.500 0.000

=====

2.
SCAN Sr2Fe2N, single point on PBEsol structure; SG = No. 139; energy relative to the elements, uncorrected = 2.78 eV/f.u.; total moment = 5.0 μB per formula unit; V = 98.8 Å³/cell; theoretical density = 5055 kg/m³
1.0
-2.858 2.858 3.026
2.858 -2.858 3.026
2.858 2.858 -3.026
Sr Fe N
2 2 1
direct
0.250 0.750 0.500
0.750 0.250 0.500
0.206 0.206 0.000
0.794 0.794 0.000
0.500 0.500 0.000

=====

3.
SCAN SrFe3N, single point on PBEsol structure; SG = No. 221; energy relative to the elements, uncorrected = 17.19 eV/f.u.; total moment = 8.8 μB per formula unit; V = 93.9 Å³/cell; theoretical density = 4759 kg/m³
1.0
4.545 0.000 0.000
0.000 4.545 0.000
0.000 0.000 4.545
Sr Fe N
1 3 1
direct
0.000 0.000 0.000
0.000 0.000 0.500
0.000 0.500 0.000
0.500 0.000 0.000
0.500 0.500 0.500